HfTiRh4 after structural relaxation, computed with PBE-GGA.

Unit cell a=5.338 b=5.338 c=6.260 alpha=107.08 beta=107.08 gamma=33.79
Atoms (fractional coordinates):
Hf: 0.000 0.000 0.000
Ti: 0.000 0.000 0.500
Rh: 0.343 0.343 0.184
Rh: 0.350 0.350 0.657
Rh: 0.650 0.650 0.343
Rh: 0.657 0.657 0.816

**SG**: No. 12
**N(E_F)**: 0.98 states/eV/atom
**ΔE to the lowest computed polymorph**: 0.0 kJ/mol of atoms
**DFT formation energy**: -583 meV per atom


GeAsP after structural relaxation, computed with PBE-GGA.

Unit cell a=5.097 b=5.165 c=5.333 alpha=89.50 beta=89.57 gamma=88.45
Atoms (fractional coordinates):
Ge: 0.000 0.000 0.000
Ge: 0.311 0.162 0.323
As: 0.487 0.486 0.001
As: 0.665 0.816 0.278
P: 0.144 0.652 0.729
P: 0.841 0.346 0.726

**SG**: No. 1
**ΔE to the lowest computed polymorph**: 10.2 kJ/mol of atoms
**DFT formation energy**: 104 meV per atom


Ba2AcBi after structural relaxation, computed with PBE-GGA.

Unit cell a=14.138 b=14.138 c=14.138 alpha=16.45 beta=16.45 gamma=16.45
Atoms (fractional coordinates):
Ba: 0.083 0.083 0.083
Ba: 0.917 0.917 0.917
Ac: 0.500 0.500 0.500
Bi: 0.000 0.000 0.000

**SG**: No. 166
**N(E_F)**: 1.23 states/eV/atom
**ΔE to the lowest computed polymorph**: 43.0 kJ/mol of atoms
**DFT formation energy**: 104 meV per atom


NaMgTlGa after structural relaxation, computed with PBE-GGA.

Unit cell a=5.122 b=5.122 c=5.122 alpha=60.00 beta=60.00 gamma=60.00
Atoms (fractional coordinates):
Na: 0.000 0.000 0.000
Mg: 0.500 0.500 0.500
Tl: 0.250 0.250 0.250
Ga: 0.750 0.750 0.750

**SG**: No. 216
**N(E_F)**: 0.61 states/eV/atom
**ΔE to the lowest computed polymorph**: 3.1 kJ/mol of atoms
**DFT formation energy**: -49 meV per atom


Re2GeMo after structural relaxation, computed with PBE-GGA.

Unit cell a=9.204 b=9.204 c=9.204 alpha=17.83 beta=17.83 gamma=17.83
Atoms (fractional coordinates):
Re: 0.090 0.090 0.090
Re: 0.910 0.910 0.910
Ge: 0.500 0.500 0.500
Mo: 0.000 0.000 0.000

**SG**: No. 166
**N(E_F)**: 0.97 states/eV/atom
**DFT formation energy**: 713 meV per atom


BeCo2TePd after structural relaxation, computed with PBE-GGA.

Unit cell a=4.599 b=4.599 c=4.931 alpha=90.00 beta=90.00 gamma=90.00
Atoms (fractional coordinates):
Be: 0.000 0.000 0.000
Co: 0.000 0.500 0.500
Co: 0.500 0.000 0.500
Te: 0.500 0.500 0.500
Pd: 0.500 0.500 0.000

**SG**: No. 123
**Uncorrected formation energy**: 1.22 eV per atom
**N(E_F)**: 0.88 states/eV/atom


MnAl2Pt after structural relaxation, computed with PBE-GGA.

Unit cell a=8.482 b=8.482 c=8.482 alpha=19.27 beta=19.27 gamma=19.27
Atoms (fractional coordinates):
Mn: 0.000 0.000 0.000
Al: 0.252 0.252 0.252
Al: 0.748 0.748 0.748
Pt: 0.500 0.500 0.500

**SG**: No. 166
**N(E_F)**: 0.40 states/eV/atom
**DFT formation energy**: -417 meV per atom


BaTaTe2 after structural relaxation, computed with PBE-GGA.

Unit cell a=5.295 b=6.476 c=6.476 alpha=37.74 beta=90.00 gamma=90.00
Atoms (fractional coordinates):
Ba: 0.000 0.000 0.000
Ta: 0.500 0.757 0.757
Te: 0.000 0.722 0.722
Te: 0.500 0.407 0.407

**SG**: No. 38
**Uncorrected formation energy**: -0.36 eV per atom
**N(E_F)**: 0.88 states/eV/atom
**ΔE to the lowest computed polymorph**: 13.5 kJ/mol of atoms


Y6AgPt5 after structural relaxation, computed with PBE-GGA.

Unit cell a=8.634 b=8.634 c=8.634 alpha=146.44 beta=132.00 gamma=59.84
Atoms (fractional coordinates):
Y: 0.076 0.330 0.746
Y: 0.241 0.000 0.241
Y: 0.415 0.670 0.746
Y: 0.585 0.330 0.254
Y: 0.759 0.000 0.759
Y: 0.924 0.670 0.254
Ag: 0.500 0.500 0.000
Pt: 0.000 0.500 0.500
Pt: 0.171 0.171 0.000
Pt: 0.341 0.841 0.500
Pt: 0.659 0.159 0.500
Pt: 0.829 0.829 0.000

**SG**: No. 71
**N(E_F)**: 0.60 states/eV/atom
**DFT formation energy**: -1065 meV per atom


LaOsBr2 after structural relaxation, computed with PBE-GGA.

Unit cell a=5.713 b=5.713 c=4.622 alpha=112.97 beta=112.97 gamma=111.41
Atoms (fractional coordinates):
La: 0.000 0.000 0.000
Os: 0.500 0.500 0.000
Br: 0.000 0.500 0.500
Br: 0.500 0.000 0.500

**SG**: No. 12
**Uncorrected formation energy**: -0.01 eV per atom
**N(E_F)**: 0.96 states/eV/atom
**ΔE to the lowest computed polymorph**: 45.3 kJ/mol of atoms


MnFeRh after structural relaxation, computed with PBE-GGA.

Unit cell a=2.619 b=2.619 c=6.304 alpha=90.00 beta=90.00 gamma=120.00
Atoms (fractional coordinates):
Mn: 0.000 0.000 0.000
Fe: 0.333 0.667 0.683
Rh: 0.667 0.333 0.341

**SG**: No. 156
**N(E_F)**: 0.98 states/eV/atom
**ΔE to the lowest computed polymorph**: 3.8 kJ/mol of atoms
**DFT formation energy**: 48 meV per atom


NiBPCl2 after structural relaxation, computed with PBE-GGA.

Unit cell a=4.204 b=4.204 c=4.386 alpha=90.00 beta=90.00 gamma=90.00
Atoms (fractional coordinates):
Ni: 0.000 0.000 0.000
B: 0.500 0.500 0.500
P: 0.500 0.500 0.000
Cl: 0.000 0.500 0.500
Cl: 0.500 0.000 0.500

**SG**: No. 123
**Uncorrected formation energy**: 0.94 eV per atom
**N(E_F)**: 0.84 states/eV/atom
**ΔE to the lowest computed polymorph**: 0.0 kJ/mol of atoms


| no. | size of the total moment (μB/cell) |
| --- | --- |
| 1 | 0.00 |
| 2 | 0.00 |
| 3 | 0.00 |
| 4 | 0.00 |
| 5 | 0.00 |
| 6 | 2.36 |
| 7 | 2.58 |
| 8 | 0.31 |
| 9 | 0.00 |
| 10 | 0.71 |
| 11 | 0.19 |
| 12 | 0.82 |